[1]
Be4AgAu5: optimized geometry, GGA-PBE.

Results
Total magnetization, μB/atom: 0.000
Calculated volume, Å³/cell: 140.4
ρ, g cm⁻³: 13.35
Space group: P4/mmm
DFT formation energy, kJ/mol of formula units: -120

Geometry as CIF:
```
data_Be4AgAu5
_chemical_formula_sum 'Be4 Ag1 Au5'
_space_group_name_H-M_alt 'P 1'
_space_group_IT_number 1
_cell_length_a 2.939
_cell_length_b 2.939
_cell_length_c 16.257
_cell_angle_alpha 90.00
_cell_angle_beta 90.00
_cell_angle_gamma 90.00
loop_
_space_group_symop_operation_xyz
'x,y,z'
loop_
_atom_site_label
_atom_site_type_symbol
_atom_site_fract_x
_atom_site_fract_y
_atom_site_fract_z
_atom_site_occupancy
Be1 Be 0.000 0.000 0.093 1
Be2 Be 0.000 0.000 0.281 1
Be3 Be 0.000 0.000 0.719 1
Be4 Be 0.000 0.000 0.907 1
Ag1 Ag 0.000 0.000 0.500 1
Au1 Au 0.500 0.500 0.000 1
Au2 Au 0.500 0.500 0.185 1
Au3 Au 0.500 0.500 0.368 1
Au4 Au 0.500 0.500 0.632 1
Au5 Au 0.500 0.500 0.815 1
```

***

[2]
BeAgAu3: optimized geometry, GGA-PBE.

Results
Total magnetization, μB/atom: 0.000
Calculated volume, Å³/cell: 171.2
ρ, g cm⁻³: 13.73
Space group: C2/m
Polymorph energy (0 for the lowest one), meV per atom: 51.2
DFT formation energy, kJ/mol of formula units: -17

Geometry as CIF:
```
data_BeAgAu3
_chemical_formula_sum 'Be2 Ag2 Au6'
_space_group_name_H-M_alt 'P 1'
_space_group_IT_number 1
_cell_length_a 5.869
_cell_length_b 5.869
_cell_length_c 6.164
_cell_angle_alpha 115.88
_cell_angle_beta 115.88
_cell_angle_gamma 74.81
loop_
_space_group_symop_operation_xyz
'x,y,z'
loop_
_atom_site_label
_atom_site_type_symbol
_atom_site_fract_x
_atom_site_fract_y
_atom_site_fract_z
_atom_site_occupancy
Be1 Be 0.215 0.215 0.042 1
Be2 Be 0.785 0.785 0.958 1
Ag1 Ag 0.457 0.457 0.713 1
Ag2 Ag 0.543 0.543 0.287 1
Au1 Au 0.019 0.593 0.266 1
Au2 Au 0.087 0.087 0.278 1
Au3 Au 0.407 0.981 0.734 1
Au4 Au 0.593 0.019 0.266 1
Au5 Au 0.913 0.913 0.722 1
Au6 Au 0.981 0.407 0.734 1
```

***

[3]
Be2AgAu: optimized geometry, GGA-PBE.

Results
Total magnetization, μB/atom: 0.000
Calculated volume, Å³/cell: 104.6
ρ, g cm⁻³: 10.25
Space group: Cm
Polymorph energy (0 for the lowest one), meV per atom: 44.0
DFT formation energy, kJ/mol of formula units: 13

Geometry as CIF:
```
data_Be2AgAu
_chemical_formula_sum 'Be4 Ag2 Au2'
_space_group_name_H-M_alt 'P 1'
_space_group_IT_number 1
_cell_length_a 8.878
_cell_length_b 2.876
_cell_length_c 4.278
_cell_angle_alpha 90.00
_cell_angle_beta 106.78
_cell_angle_gamma 90.00
loop_
_space_group_symop_operation_xyz
'x,y,z'
loop_
_atom_site_label
_atom_site_type_symbol
_atom_site_fract_x
_atom_site_fract_y
_atom_site_fract_z
_atom_site_occupancy
Be1 Be 0.000 0.000 0.000 1
Be2 Be 0.219 0.500 0.305 1
Be3 Be 0.500 0.500 0.000 1
Be4 Be 0.719 0.000 0.305 1
Ag1 Ag 0.245 0.000 0.828 1
Ag2 Ag 0.745 0.500 0.828 1
Au1 Au 0.465 0.000 0.458 1
Au2 Au 0.965 0.500 0.458 1
```

***

[4]
BeAg3Au4: optimized geometry, GGA-PBE.

Results
Total magnetization, μB/atom: 0.000
Calculated volume, Å³/cell: 133.9
ρ, g cm⁻³: 13.90
Space group: P4/mmm
DFT formation energy, kJ/mol of formula units: -64

Geometry as CIF:
```
data_BeAg3Au4
_chemical_formula_sum 'Be1 Ag3 Au4'
_space_group_name_H-M_alt 'P 1'
_space_group_IT_number 1
_cell_length_a 2.918
_cell_length_b 2.918
_cell_length_c 15.719
_cell_angle_alpha 90.00
_cell_angle_beta 90.00
_cell_angle_gamma 90.00
loop_
_space_group_symop_operation_xyz
'x,y,z'
loop_
_atom_site_label
_atom_site_type_symbol
_atom_site_fract_x
_atom_site_fract_y
_atom_site_fract_z
_atom_site_occupancy
Be1 Be 0.000 0.000 0.000 1
Ag1 Ag 0.000 0.000 0.231 1
Ag2 Ag 0.000 0.000 0.500 1
Ag3 Ag 0.000 0.000 0.769 1
Au1 Au 0.500 0.500 0.093 1
Au2 Au 0.500 0.500 0.366 1
Au3 Au 0.500 0.500 0.634 1
Au4 Au 0.500 0.500 0.907 1
```

***

[5]
BeAgAu: optimized geometry, GGA-PBE.

Results
Total magnetization, μB/atom: 0.000
Calculated volume, Å³/cell: 45.8
ρ, g cm⁻³: 11.38
Space group: P3m1
Polymorph energy (0 for the lowest one), meV per atom: 107.6
DFT formation energy, kJ/mol of formula units: 15

Geometry as CIF:
```
data_BeAgAu
_chemical_formula_sum 'Be1 Ag1 Au1'
_space_group_name_H-M_alt 'P 1'
_space_group_IT_number 1
_cell_length_a 4.135
_cell_length_b 4.135
_cell_length_c 3.093
_cell_angle_alpha 90.00
_cell_angle_beta 90.00
_cell_angle_gamma 120.00
loop_
_space_group_symop_operation_xyz
'x,y,z'
loop_
_atom_site_label
_atom_site_type_symbol
_atom_site_fract_x
_atom_site_fract_y
_atom_site_fract_z
_atom_site_occupancy
Be1 Be 0.000 0.000 0.000 1
Ag1 Ag 0.667 0.333 0.498 1
Au1 Au 0.333 0.667 0.998 1
```

***

[6]
Be2AgAu: optimized geometry, GGA-PBE.

Results
Total magnetization, μB/atom: 0.000
Calculated volume, Å³/cell: 105.8
ρ, g cm⁻³: 10.13
Space group: Imm2
Polymorph energy (0 for the lowest one), meV per atom: 84.7
DFT formation energy, kJ/mol of formula units: 29

Geometry as CIF:
```
data_Be2AgAu
_chemical_formula_sum 'Be4 Ag2 Au2'
_space_group_name_H-M_alt 'P 1'
_space_group_IT_number 1
_cell_length_a 3.239
_cell_length_b 3.856
_cell_length_c 8.472
_cell_angle_alpha 90.00
_cell_angle_beta 90.00
_cell_angle_gamma 90.00
loop_
_space_group_symop_operation_xyz
'x,y,z'
loop_
_atom_site_label
_atom_site_type_symbol
_atom_site_fract_x
_atom_site_fract_y
_atom_site_fract_z
_atom_site_occupancy
Be1 Be 0.000 0.000 0.000 1
Be2 Be 0.000 0.500 0.259 1
Be3 Be 0.500 0.000 0.759 1
Be4 Be 0.500 0.500 0.500 1
Ag1 Ag 0.000 0.500 0.765 1
Ag2 Ag 0.500 0.000 0.265 1
Au1 Au 0.000 0.000 0.532 1
Au2 Au 0.500 0.500 0.032 1
```

***

[7]
Be2AgAu: optimized geometry, GGA-PBE.

Results
Total magnetization, μB/atom: 0.000
Calculated volume, Å³/cell: 54.5
ρ, g cm⁻³: 9.83
Space group: P2/m
Polymorph energy (0 for the lowest one), meV per atom: 198.9
DFT formation energy, kJ/mol of formula units: 73

Geometry as CIF:
```
data_Be2AgAu
_chemical_formula_sum 'Be2 Ag1 Au1'
_space_group_name_H-M_alt 'P 1'
_space_group_IT_number 1
_cell_length_a 4.160
_cell_length_b 2.897
_cell_length_c 4.898
_cell_angle_alpha 90.00
_cell_angle_beta 112.55
_cell_angle_gamma 90.00
loop_
_space_group_symop_operation_xyz
'x,y,z'
loop_
_atom_site_label
_atom_site_type_symbol
_atom_site_fract_x
_atom_site_fract_y
_atom_site_fract_z
_atom_site_occupancy
Be1 Be 0.000 0.000 0.000 1
Be2 Be 0.000 0.500 0.500 1
Ag1 Ag 0.500 0.000 0.500 1
Au1 Au 0.500 0.500 0.000 1
```

***

[8]
BeAgAu: optimized geometry, GGA-PBE.

Results
Total magnetization, μB/atom: 0.000
Calculated volume, Å³/cell: 48.5
ρ, g cm⁻³: 10.74
Space group: Pmmm
Polymorph energy (0 for the lowest one), meV per atom: 97.7
DFT formation energy, kJ/mol of formula units: 12

Geometry as CIF:
```
data_BeAgAu
_chemical_formula_sum 'Be1 Ag1 Au1'
_space_group_name_H-M_alt 'P 1'
_space_group_IT_number 1
_cell_length_a 2.767
_cell_length_b 3.998
_cell_length_c 4.387
_cell_angle_alpha 90.00
_cell_angle_beta 90.00
_cell_angle_gamma 90.00
loop_
_space_group_symop_operation_xyz
'x,y,z'
loop_
_atom_site_label
_atom_site_type_symbol
_atom_site_fract_x
_atom_site_fract_y
_atom_site_fract_z
_atom_site_occupancy
Be1 Be 0.000 0.000 0.000 1
Ag1 Ag 0.500 0.000 0.500 1
Au1 Au 0.500 0.500 0.000 1
```

***

[9]
Be2AgAu7: optimized geometry, GGA-PBE.

Results
Total magnetization, μB/atom: 0.000
Calculated volume, Å³/cell: 168.1
ρ, g cm⁻³: 14.86
Space group: I4/mmm
Polymorph energy (0 for the lowest one), meV per atom: 0.0
DFT formation energy, kJ/mol of formula units: -74

Geometry as CIF:
```
data_Be2AgAu7
_chemical_formula_sum 'Be2 Ag1 Au7'
_space_group_name_H-M_alt 'P 1'
_space_group_IT_number 1
_cell_length_a 10.452
_cell_length_b 10.452
_cell_length_c 10.452
_cell_angle_alpha 157.43
_cell_angle_beta 157.43
_cell_angle_gamma 32.14
loop_
_space_group_symop_operation_xyz
'x,y,z'
loop_
_atom_site_label
_atom_site_type_symbol
_atom_site_fract_x
_atom_site_fract_y
_atom_site_fract_z
_atom_site_occupancy
Be1 Be 0.178 0.178 0.000 1
Be2 Be 0.822 0.822 0.000 1
Ag1 Ag 0.500 0.500 0.000 1
Au1 Au 0.000 0.000 0.000 1
Au2 Au 0.108 0.608 0.500 1
Au3 Au 0.250 0.750 0.500 1
Au4 Au 0.392 0.892 0.500 1
Au5 Au 0.608 0.108 0.500 1
Au6 Au 0.750 0.250 0.500 1
Au7 Au 0.892 0.392 0.500 1
```

***

[10]
Be3Ag5Au12: optimized geometry, GGA-PBE.

Results
Total magnetization, μB/atom: 0.000
Calculated volume, Å³/cell: 1745.6
ρ, g cm⁻³: 11.15
Space group: Ia-3d
DFT formation energy, kJ/mol of formula units: 614

Geometry as CIF:
```
data_Be3Ag5Au12
_chemical_formula_sum 'Be12 Ag20 Au48'
_space_group_name_H-M_alt 'P 1'
_space_group_IT_number 1
_cell_length_a 13.138
_cell_length_b 13.138
_cell_length_c 13.138
_cell_angle_alpha 109.47
_cell_angle_beta 109.47
_cell_angle_gamma 109.47
loop_
_space_group_symop_operation_xyz
'x,y,z'
loop_
_atom_site_label
_atom_site_type_symbol
_atom_site_fract_x
_atom_site_fract_y
_atom_site_fract_z
_atom_site_occupancy
Be1 Be 0.125 0.250 0.375 1
Be2 Be 0.125 0.375 0.750 1
Be3 Be 0.250 0.375 0.125 1
Be4 Be 0.250 0.875 0.625 1
Be5 Be 0.375 0.125 0.250 1
Be6 Be 0.375 0.750 0.125 1
Be7 Be 0.625 0.250 0.875 1
Be8 Be 0.625 0.875 0.750 1
Be9 Be 0.750 0.125 0.375 1
Be10 Be 0.750 0.625 0.875 1
Be11 Be 0.875 0.625 0.250 1
Be12 Be 0.875 0.750 0.625 1
Ag1 Ag 0.000 0.000 0.000 1
Ag2 Ag 0.000 0.000 0.500 1
Ag3 Ag 0.000 0.500 0.000 1
Ag4 Ag 0.000 0.500 0.500 1
Ag5 Ag 0.125 0.750 0.875 1
Ag6 Ag 0.125 0.875 0.250 1
Ag7 Ag 0.250 0.125 0.875 1
Ag8 Ag 0.250 0.625 0.375 1
Ag9 Ag 0.375 0.250 0.625 1
Ag10 Ag 0.375 0.625 0.750 1
Ag11 Ag 0.500 0.000 0.000 1
Ag12 Ag 0.500 0.000 0.500 1
Ag13 Ag 0.500 0.500 0.000 1
Ag14 Ag 0.500 0.500 0.500 1
Ag15 Ag 0.625 0.375 0.250 1
Ag16 Ag 0.625 0.750 0.375 1
Ag17 Ag 0.750 0.375 0.625 1
Ag18 Ag 0.750 0.875 0.125 1
Ag19 Ag 0.875 0.125 0.750 1
Ag20 Ag 0.875 0.250 0.125 1
Au1 Au 0.041 0.626 0.379 1
Au2 Au 0.041 0.916 0.662 1
Au3 Au 0.084 0.247 0.126 1
Au4 Au 0.084 0.338 0.959 1
Au5 Au 0.121 0.747 0.662 1
Au6 Au 0.121 0.874 0.459 1
Au7 Au 0.126 0.084 0.247 1
Au8 Au 0.126 0.541 0.879 1
Au9 Au 0.162 0.247 0.621 1
Au10 Au 0.162 0.416 0.541 1
Au11 Au 0.247 0.126 0.084 1
Au12 Au 0.247 0.621 0.162 1
Au13 Au 0.253 0.338 0.879 1
Au14 Au 0.253 0.416 0.374 1
Au15 Au 0.338 0.879 0.253 1
Au16 Au 0.338 0.959 0.084 1
Au17 Au 0.374 0.253 0.416 1
Au18 Au 0.374 0.621 0.959 1
Au19 Au 0.379 0.041 0.626 1
Au20 Au 0.379 0.838 0.753 1
Au21 Au 0.416 0.374 0.253 1
Au22 Au 0.416 0.541 0.162 1
Au23 Au 0.459 0.121 0.874 1
Au24 Au 0.459 0.838 0.584 1
Au25 Au 0.541 0.162 0.416 1
Au26 Au 0.541 0.879 0.126 1
Au27 Au 0.584 0.459 0.838 1
Au28 Au 0.584 0.626 0.747 1
Au29 Au 0.621 0.162 0.247 1
Au30 Au 0.621 0.959 0.374 1
Au31 Au 0.626 0.379 0.041 1
Au32 Au 0.626 0.747 0.584 1
Au33 Au 0.662 0.041 0.916 1
Au34 Au 0.662 0.121 0.747 1
Au35 Au 0.747 0.584 0.626 1
Au36 Au 0.747 0.662 0.121 1
Au37 Au 0.753 0.379 0.838 1
Au38 Au 0.753 0.874 0.916 1
Au39 Au 0.838 0.584 0.459 1
Au40 Au 0.838 0.753 0.379 1
Au41 Au 0.874 0.459 0.121 1
Au42 Au 0.874 0.916 0.753 1
Au43 Au 0.879 0.126 0.541 1
Au44 Au 0.879 0.253 0.338 1
Au45 Au 0.916 0.662 0.041 1
Au46 Au 0.916 0.753 0.874 1
Au47 Au 0.959 0.084 0.338 1
Au48 Au 0.959 0.374 0.621 1
```

***

[11]
CaBeAg2Au: optimized geometry, GGA-PBE.

Results
Total magnetization, μB/atom: 0.000
Calculated volume, Å³/cell: 97.8
ρ, g cm⁻³: 7.84
Space group: P4/mmm
DFT formation energy, kJ/mol of formula units: -93

Geometry as CIF:
```
data_CaBeAg2Au
_chemical_formula_sum 'Ca1 Be1 Ag2 Au1'
_space_group_name_H-M_alt 'P 1'
_space_group_IT_number 1
_cell_length_a 4.625
_cell_length_b 4.625
_cell_length_c 4.574
_cell_angle_alpha 90.00
_cell_angle_beta 90.00
_cell_angle_gamma 90.00
loop_
_space_group_symop_operation_xyz
'x,y,z'
loop_
_atom_site_label
_atom_site_type_symbol
_atom_site_fract_x
_atom_site_fract_y
_atom_site_fract_z
_atom_site_occupancy
Ca1 Ca 0.000 0.000 0.000 1
Be1 Be 0.500 0.500 0.500 1
Ag1 Ag 0.000 0.500 0.500 1
Ag2 Ag 0.500 0.000 0.500 1
Au1 Au 0.500 0.500 0.000 1
```

***

[12]
CaBeAgAu2: optimized geometry, GGA-PBE.

Results
Total magnetization, μB/atom: 0.000
Calculated volume, Å³/cell: 97.4
ρ, g cm⁻³: 9.39
Space group: P4/mmm
DFT formation energy, kJ/mol of formula units: -159

Geometry as CIF:
```
data_CaBeAgAu2
_chemical_formula_sum 'Ca1 Be1 Ag1 Au2'
_space_group_name_H-M_alt 'P 1'
_space_group_IT_number 1
_cell_length_a 4.596
_cell_length_b 4.596
_cell_length_c 4.611
_cell_angle_alpha 90.00
_cell_angle_beta 90.00
_cell_angle_gamma 90.00
loop_
_space_group_symop_operation_xyz
'x,y,z'
loop_
_atom_site_label
_atom_site_type_symbol
_atom_site_fract_x
_atom_site_fract_y
_atom_site_fract_z
_atom_site_occupancy
Ca1 Ca 0.000 0.000 0.000 1
Be1 Be 0.500 0.500 0.500 1
Ag1 Ag 0.500 0.500 0.000 1
Au1 Au 0.000 0.500 0.500 1
Au2 Au 0.500 0.000 0.500 1
```

***

What is the formula in the second record? BeAgAu3

***

Which of these has the highest calculated volume? Be3Ag5Au12